Entry from the Alexandria database: a geometry-optimized InSn2Pb5 structure (PBE). Values from VASP.

Values from the calculation:
* energy relative to the lowest polymorph listed for this composition: 0 meV/atom
* E_form: 57 meV per atom
* spin magnetization: 0.0000 μB per atom
* total energy: -3.6040 eV/atom
* crystal system: tetragonal

Geometry as Quantum ESPRESSO input:
```
&SYSTEM
  ibrav = 0, nat = 8, ntyp = 3
/
ATOMIC_SPECIES
In 114.82 In.upf
Pb 207.20 Pb.upf
Sn 118.71 Sn.upf
ATOMIC_POSITIONS angstrom
In 2.4481 4.3000 3.7841
Pb 2.3164 4.0728 0.3628
Pb 4.3168 1.5988 4.7669
Sn 4.1880 1.3726 1.3471
Pb 0.9103 1.6026 2.3303
Sn -0.9618 4.3029 1.3461
Pb -1.0856 4.0739 -2.0738
Pb 0.7824 1.3712 -1.0897
CELL_PARAMETERS angstrom
6.5571 -0.4583 -1.9630
-3.7422 5.4030 -1.9646
0.2568 0.4534 6.8400
```